Entry 1:
Computed, not measured: Ba3Th5O12 after structural relaxation at the PBE level of DFT.

Properties
**Formation energy without anion corrections**: -3.243 eV per atom
**Space group**: Ia-3d

The structure in CIF format:
```
data_Ba3Th5O12
_chemical_formula_sum 'Ba12 Th20 O48'
_cell_length_a 12.935
_cell_length_b 12.935
_cell_length_c 12.935
_cell_angle_alpha 109.47
_cell_angle_beta 109.47
_cell_angle_gamma 109.47
_symmetry_space_group_name_H-M 'P 1'
_symmetry_Int_Tables_number 1
loop_
_symmetry_equiv_pos_as_xyz
'x,y,z'
loop_
_atom_site_label
_atom_site_type_symbol
_atom_site_fract_x
_atom_site_fract_y
_atom_site_fract_z
_atom_site_occupancy
Ba1 Ba 0.125 0.250 0.375 1
Ba2 Ba 0.125 0.375 0.750 1
Ba3 Ba 0.250 0.375 0.125 1
Ba4 Ba 0.250 0.875 0.625 1
Ba5 Ba 0.375 0.125 0.250 1
Ba6 Ba 0.375 0.750 0.125 1
Ba7 Ba 0.625 0.250 0.875 1
Ba8 Ba 0.625 0.875 0.750 1
Ba9 Ba 0.750 0.125 0.375 1
Ba10 Ba 0.750 0.625 0.875 1
Ba11 Ba 0.875 0.625 0.250 1
Ba12 Ba 0.875 0.750 0.625 1
Th1 Th 0.000 0.000 0.000 1
Th2 Th 0.000 0.000 0.500 1
Th3 Th 0.000 0.500 0.000 1
Th4 Th 0.000 0.500 0.500 1
Th5 Th 0.125 0.750 0.875 1
Th6 Th 0.125 0.875 0.250 1
Th7 Th 0.250 0.125 0.875 1
Th8 Th 0.250 0.625 0.375 1
Th9 Th 0.375 0.250 0.625 1
Th10 Th 0.375 0.625 0.750 1
Th11 Th 0.500 0.000 0.000 1
Th12 Th 0.500 0.000 0.500 1
Th13 Th 0.500 0.500 0.000 1
Th14 Th 0.500 0.500 0.500 1
Th15 Th 0.625 0.375 0.250 1
Th16 Th 0.625 0.750 0.375 1
Th17 Th 0.750 0.375 0.625 1
Th18 Th 0.750 0.875 0.125 1
Th19 Th 0.875 0.125 0.750 1
Th20 Th 0.875 0.250 0.125 1
O1 O 0.019 0.193 0.125 1
O2 O 0.019 0.326 0.895 1
O3 O 0.068 0.693 0.674 1
O4 O 0.068 0.875 0.395 1
O5 O 0.105 0.625 0.432 1
O6 O 0.105 0.981 0.674 1
O7 O 0.125 0.019 0.193 1
O8 O 0.125 0.605 0.932 1
O9 O 0.174 0.193 0.568 1
O10 O 0.174 0.481 0.605 1
O11 O 0.193 0.125 0.019 1
O12 O 0.193 0.568 0.174 1
O13 O 0.307 0.326 0.932 1
O14 O 0.307 0.481 0.375 1
O15 O 0.326 0.895 0.019 1
O16 O 0.326 0.932 0.307 1
O17 O 0.375 0.307 0.481 1
O18 O 0.375 0.568 0.895 1
O19 O 0.395 0.068 0.875 1
O20 O 0.395 0.826 0.519 1
O21 O 0.432 0.105 0.625 1
O22 O 0.432 0.826 0.807 1
O23 O 0.481 0.375 0.307 1
O24 O 0.481 0.605 0.174 1
O25 O 0.519 0.395 0.826 1
O26 O 0.519 0.625 0.693 1
O27 O 0.568 0.174 0.193 1
O28 O 0.568 0.895 0.375 1
O29 O 0.605 0.174 0.481 1
O30 O 0.605 0.932 0.125 1
O31 O 0.625 0.432 0.105 1
O32 O 0.625 0.693 0.519 1
O33 O 0.674 0.068 0.693 1
O34 O 0.674 0.105 0.981 1
O35 O 0.693 0.519 0.625 1
O36 O 0.693 0.674 0.068 1
O37 O 0.807 0.432 0.826 1
O38 O 0.807 0.875 0.981 1
O39 O 0.826 0.519 0.395 1
O40 O 0.826 0.807 0.432 1
O41 O 0.875 0.395 0.068 1
O42 O 0.875 0.981 0.807 1
O43 O 0.895 0.019 0.326 1
O44 O 0.895 0.375 0.568 1
O45 O 0.932 0.125 0.605 1
O46 O 0.932 0.307 0.326 1
O47 O 0.981 0.674 0.105 1
O48 O 0.981 0.807 0.875 1
```

Entry 2:
Computed, not measured: PrNd12Ho3 after structural relaxation at the PBE level of DFT.

Properties
**Space group**: P4/mmm
**Energy of formation from the pure elements**: 0.014 eV/atom

The structure in CIF format:
```
data_PrNd12Ho3
_chemical_formula_sum 'Pr1 Nd12 Ho3'
_cell_length_a 5.167
_cell_length_b 5.167
_cell_length_c 20.634
_cell_angle_alpha 90.00
_cell_angle_beta 90.00
_cell_angle_gamma 90.00
_symmetry_space_group_name_H-M 'P 1'
_symmetry_Int_Tables_number 1
loop_
_symmetry_equiv_pos_as_xyz
'x,y,z'
loop_
_atom_site_label
_atom_site_type_symbol
_atom_site_fract_x
_atom_site_fract_y
_atom_site_fract_z
_atom_site_occupancy
Pr1 Pr 0.000 0.000 0.000 1
Nd1 Nd 0.000 0.500 0.127 1
Nd2 Nd 0.000 0.500 0.376 1
Nd3 Nd 0.000 0.500 0.624 1
Nd4 Nd 0.000 0.500 0.873 1
Nd5 Nd 0.500 0.000 0.127 1
Nd6 Nd 0.500 0.000 0.376 1
Nd7 Nd 0.500 0.000 0.624 1
Nd8 Nd 0.500 0.000 0.873 1
Nd9 Nd 0.500 0.500 0.000 1
Nd10 Nd 0.500 0.500 0.252 1
Nd11 Nd 0.500 0.500 0.500 1
Nd12 Nd 0.500 0.500 0.748 1
Ho1 Ho 0.000 0.000 0.252 1
Ho2 Ho 0.000 0.000 0.500 1
Ho3 Ho 0.000 0.000 0.748 1
```

Entry 3:
Computed, not measured: Pr3YTm3Se8 after structural relaxation at the PBE level of DFT.

Properties
**Formation energy without anion corrections**: -1.834 eV per atom
**Space group**: R-3m

The structure in CIF format:
```
data_Pr3YTm3Se8
_chemical_formula_sum 'Pr3 Y1 Tm3 Se8'
_cell_length_a 8.318
_cell_length_b 8.318
_cell_length_c 8.318
_cell_angle_alpha 58.99
_cell_angle_beta 58.99
_cell_angle_gamma 58.99
_symmetry_space_group_name_H-M 'P 1'
_symmetry_Int_Tables_number 1
loop_
_symmetry_equiv_pos_as_xyz
'x,y,z'
loop_
_atom_site_label
_atom_site_type_symbol
_atom_site_fract_x
_atom_site_fract_y
_atom_site_fract_z
_atom_site_occupancy
Pr1 Pr 0.000 0.500 0.500 1
Pr2 Pr 0.500 0.000 0.500 1
Pr3 Pr 0.500 0.500 0.000 1
Y1 Y 0.500 0.500 0.500 1
Tm1 Tm 0.000 0.000 0.500 1
Tm2 Tm 0.000 0.500 0.000 1
Tm3 Tm 0.500 0.000 0.000 1
Se1 Se 0.235 0.750 0.750 1
Se2 Se 0.243 0.243 0.243 1
Se3 Se 0.250 0.250 0.765 1
Se4 Se 0.250 0.765 0.250 1
Se5 Se 0.750 0.235 0.750 1
Se6 Se 0.750 0.750 0.235 1
Se7 Se 0.757 0.757 0.757 1
Se8 Se 0.765 0.250 0.250 1
```

Entry 4:
Computed, not measured: Cr3Co after structural relaxation at the PBE level of DFT.

Properties
**Space group**: Immm
**Energy of formation from the pure elements**: 0.118 eV/atom

The structure in CIF format:
```
data_Cr3Co
_chemical_formula_sum 'Cr3 Co1'
_cell_length_a 4.658
_cell_length_b 4.658
_cell_length_c 4.658
_cell_angle_alpha 143.83
_cell_angle_beta 129.20
_cell_angle_gamma 63.94
_symmetry_space_group_name_H-M 'P 1'
_symmetry_Int_Tables_number 1
loop_
_symmetry_equiv_pos_as_xyz
'x,y,z'
loop_
_atom_site_label
_atom_site_type_symbol
_atom_site_fract_x
_atom_site_fract_y
_atom_site_fract_z
_atom_site_occupancy
Cr1 Cr 0.000 0.000 0.000 1
Cr2 Cr 0.240 0.740 0.500 1
Cr3 Cr 0.760 0.260 0.500 1
Co1 Co 0.500 0.500 0.000 1
```

Entry 5:
Computed, not measured: ErCd3Hg3 after structural relaxation at the PBE level of DFT.

Properties
**Polymorph energy (0 for the lowest one)**: 0.000 eV per atom
**Space group**: R-3
**Energy of formation from the pure elements**: -0.132 eV/atom

The structure in CIF format:
```
data_ErCd3Hg3
_chemical_formula_sum 'Er2 Cd6 Hg6'
_cell_length_a 10.558
_cell_length_b 10.558
_cell_length_c 10.558
_cell_angle_alpha 35.52
_cell_angle_beta 35.52
_cell_angle_gamma 35.52
_symmetry_space_group_name_H-M 'P 1'
_symmetry_Int_Tables_number 1
loop_
_symmetry_equiv_pos_as_xyz
'x,y,z'
loop_
_atom_site_label
_atom_site_type_symbol
_atom_site_fract_x
_atom_site_fract_y
_atom_site_fract_z
_atom_site_occupancy
Er1 Er 0.201 0.201 0.201 1
Er2 Er 0.799 0.799 0.799 1
Cd1 Cd 0.135 0.140 0.611 1
Cd2 Cd 0.140 0.611 0.135 1
Cd3 Cd 0.389 0.865 0.860 1
Cd4 Cd 0.611 0.135 0.140 1
Cd5 Cd 0.860 0.389 0.865 1
Cd6 Cd 0.865 0.860 0.389 1
Hg1 Hg 0.229 0.712 0.709 1
Hg2 Hg 0.288 0.291 0.771 1
Hg3 Hg 0.291 0.771 0.288 1
Hg4 Hg 0.709 0.229 0.712 1
Hg5 Hg 0.712 0.709 0.229 1
Hg6 Hg 0.771 0.288 0.291 1
```

Entry 6:
Computed, not measured: IrBr2Cl after structural relaxation at the PBE level of DFT.

Properties
**Polymorph energy (0 for the lowest one)**: 0.867 eV per atom
**Formation energy without anion corrections**: 0.684 eV per atom
**Space group**: P4mm

The structure in CIF format:
```
data_IrBr2Cl
_chemical_formula_sum 'Ir1 Br2 Cl1'
_cell_length_a 3.180
_cell_length_b 3.180
_cell_length_c 10.159
_cell_angle_alpha 90.00
_cell_angle_beta 90.00
_cell_angle_gamma 90.00
_symmetry_space_group_name_H-M 'P 1'
_symmetry_Int_Tables_number 1
loop_
_symmetry_equiv_pos_as_xyz
'x,y,z'
loop_
_atom_site_label
_atom_site_type_symbol
_atom_site_fract_x
_atom_site_fract_y
_atom_site_fract_z
_atom_site_occupancy
Ir1 Ir 0.000 0.000 0.000 1
Br1 Br 0.000 0.000 0.469 1
Br2 Br 0.500 0.500 0.140 1
Cl1 Cl 0.500 0.500 0.841 1
```